# GdGaNiPt PBE relaxed
data_GdGaNiPt
_chemical_formula_sum 'Gd2 Ga2 Ni2 Pt2'
_symmetry_space_group_name_H-M 'P -3 m 1'
_symmetry_Int_Tables_number 164
_symmetry_space_group_name_Hall '-P 3 2"'
_cell_length_a 4.2904
_cell_length_b 4.2904
_cell_length_c 9.0863
_cell_angle_alpha 90.00
_cell_angle_beta 90.00
_cell_angle_gamma 120.00
loop_
_atom_site_label
_atom_site_type_symbol
_atom_site_fract_x
_atom_site_fract_y
_atom_site_fract_z
Gd1 Gd 0.3333 0.6667 0.2585
Ga1 Ga 0.0000 0.0000 0.0000
Ga2 Ga 0.0000 0.0000 0.5000
Ni1 Ni 0.3333 0.6667 0.5613
Pt1 Pt 0.3333 0.6667 0.9098
# Magnetic moment, μB/atom: 0.00
# Energy above the lowest structure with this stoichiometry, meV per atom: 16
# E_tot, eV per atom: -5.615